This record from the Alexandria database describes Ca2PmNi9 after structural relaxation. The functional is PBE.

Calculated values
**Total energy**: -5.3043 eV per atom
**Formation enthalpy at 0 K**: -2.87 eV per formula unit

CIF file:
```
data_Ca2PmNi9
_chemical_formula_sum 'Ca6 Pm3 Ni27'
_symmetry_space_group_name_H-M 'R -3 m'
_symmetry_Int_Tables_number 166
_symmetry_space_group_name_Hall '-R 3 2"'
_cell_length_a 5.0063
_cell_length_b 5.0063
_cell_length_c 24.4043
_cell_angle_alpha 90.00
_cell_angle_beta 90.00
_cell_angle_gamma 120.00
loop_
_atom_site_label
_atom_site_type_symbol
_atom_site_fract_x
_atom_site_fract_y
_atom_site_fract_z
Ca1 Ca 0.0000 0.0000 0.1416
Pm1 Pm 0.0000 0.0000 0.0000
Ni1 Ni 0.0000 0.0000 0.3325
Ni2 Ni 0.0000 0.0000 0.5000
Ni3 Ni 0.0020 0.5010 0.0809
```

This record from the Alexandria database describes Ba2Cu3AgSb4 after structural relaxation. The functional is PBE.

Calculated values
**Raw formation energy**: -4.7 eV/f.u.
**Total energy**: -4.0205 eV per atom

CIF file:
```
data_Ba2Cu3AgSb4
_chemical_formula_sum 'Ba2 Cu3 Ag1 Sb4'
_symmetry_space_group_name_H-M 'P -4 m 2'
_symmetry_Int_Tables_number 115
_symmetry_space_group_name_Hall 'P -4 -2'
_cell_length_a 4.7930
_cell_length_b 4.7930
_cell_length_c 10.9126
_cell_angle_alpha 90.00
_cell_angle_beta 90.00
_cell_angle_gamma 90.00
loop_
_atom_site_label
_atom_site_type_symbol
_atom_site_fract_x
_atom_site_fract_y
_atom_site_fract_z
Ba1 Ba 0.0000 0.5000 0.2453
Cu1 Cu 0.0000 0.0000 0.0000
Cu2 Cu 0.0000 0.5000 0.6225
Ag1 Ag 0.5000 0.5000 0.0000
Sb1 Sb 0.0000 0.0000 0.5000
Sb2 Sb 0.0000 0.5000 0.8654
Sb3 Sb 0.5000 0.5000 0.5000
```

This record from the Alexandria database describes CaLaAg after structural relaxation. The functional is PBE.

Calculated values
**Offset from the most stable computed form**: 0.000 eV/atom
**Total energy**: -3.4123 eV per atom
**Formation enthalpy at 0 K**: -0.46 eV per formula unit

CIF file:
```
data_CaLaAg
_chemical_formula_sum 'Ca2 La2 Ag2'
_symmetry_space_group_name_H-M 'I 4 m m'
_symmetry_Int_Tables_number 107
_symmetry_space_group_name_Hall 'I 4 -2'
_cell_length_a 3.7168
_cell_length_b 3.7168
_cell_length_c 13.6308
_cell_angle_alpha 90.00
_cell_angle_beta 90.00
_cell_angle_gamma 90.00
loop_
_atom_site_label
_atom_site_type_symbol
_atom_site_fract_x
_atom_site_fract_y
_atom_site_fract_z
Ca1 Ca 0.0000 0.0000 0.0000
La1 La 0.0000 0.0000 0.2772
Ag1 Ag 0.0000 0.0000 0.6340
```

This record from the Alexandria database describes Pm2ThPb4 after structural relaxation. The functional is PBE.

Calculated values
**Total energy**: -4.7858 eV per atom
**Formation enthalpy at 0 K**: -1.75 eV per formula unit

CIF file:
```
data_Pm2ThPb4
_chemical_formula_sum 'Pm4 Th2 Pb8'
_symmetry_space_group_name_H-M 'P 1 21/m 1'
_symmetry_Int_Tables_number 11
_symmetry_space_group_name_Hall '-P 2yb'
_cell_length_a 6.2725
_cell_length_b 6.5478
_cell_length_c 10.9257
_cell_angle_alpha 90.00
_cell_angle_beta 105.16
_cell_angle_gamma 90.00
loop_
_atom_site_label
_atom_site_type_symbol
_atom_site_fract_x
_atom_site_fract_y
_atom_site_fract_z
Pm1 Pm 0.1152 0.2500 0.4846
Pm2 Pm 0.1729 0.2500 0.0746
Th1 Th 0.3209 0.7500 0.3074
Pb1 Pb 0.1596 0.0096 0.7713
Pb2 Pb 0.3839 0.7500 0.0257
Pb3 Pb 0.4557 0.7500 0.6182
```